[1]
A plane-wave DFT calculation with PBE-GGA was carried out for a relaxed structure of NaYPb2.

Lattice parameters (Å, degrees): 4.5146 4.9445 4.9445 90.00 90.00 90.00
Closest atoms and distances in Å follow each position.
Element x y z (fractional)
Na 0.5000 0.5000 0.5000  8 Pb 3.35, 4 Y 3.50
Y 0.5000 0.0000 0.0000  8 Pb 3.35, 4 Na 3.50
Pb 0.0000 0.0000 0.5000  4 Na 3.35, 4 Y 3.35, 4 Pb 3.50
Pb 0.0000 0.5000 0.0000  4 Na 3.35, 4 Y 3.35, 4 Pb 3.50



[2]
A plane-wave DFT calculation with PBE-GGA was carried out for a relaxed structure of Na4YPb15.

Lattice parameters (Å, degrees): 4.9148 4.9148 24.6461 90.00 90.00 90.00
Closest atoms and distances in Å follow each position.
Element x y z (fractional)
Na 0.0000 0.0000 0.8019  12 Pb 3.46-3.51
Pb 0.5000 0.5000 0.0000  8 Pb 3.47, 4 Y 3.48
Pb 0.0000 0.5000 0.5000  8 Pb 3.48, 4 Na 3.49
Y 0.0000 0.0000 0.0000  12 Pb 3.47-3.48
Pb 0.0000 0.5000 0.0992  2 Na 3.46, 8 Pb 3.47-3.50, 2 Y 3.47
Pb 0.0000 0.5000 0.7003  8 Pb 3.47-3.48, 4 Na 3.48-3.51
Pb 0.5000 0.0000 0.2997  8 Pb 3.47-3.48, 4 Na 3.48-3.51
Na 0.0000 0.0000 0.3995  12 Pb 3.48-3.49
Pb 0.0000 0.5000 0.9008  2 Na 3.46, 8 Pb 3.47-3.50, 2 Y 3.47
Pb 0.5000 0.5000 0.7998  8 Pb 3.47-3.50, 4 Na 3.48
Pb 0.5000 0.0000 0.5000  8 Pb 3.48, 4 Na 3.49
Pb 0.5000 0.0000 0.9008  2 Na 3.46, 8 Pb 3.47-3.50, 2 Y 3.47
Pb 0.5000 0.0000 0.0992  2 Na 3.46, 2 Y 3.47, 8 Pb 3.47-3.50
Na 0.0000 0.0000 0.1981  12 Pb 3.46-3.51
Pb 0.5000 0.0000 0.7003  8 Pb 3.47-3.48, 4 Na 3.48-3.51
Pb 0.0000 0.5000 0.2997  8 Pb 3.47-3.48, 4 Na 3.48-3.51
Pb 0.5000 0.5000 0.2002  8 Pb 3.47-3.50, 4 Na 3.48
Pb 0.5000 0.5000 0.3997  4 Na 3.48, 8 Pb 3.48
Na 0.0000 0.0000 0.6005  12 Pb 3.48-3.49
Pb 0.5000 0.5000 0.6003  4 Na 3.48, 8 Pb 3.48



Values of ΔE_f, in order: -0.337, -0.146, all in eV/atom.
Values of energy, in order: -16.5, -70.3, all in eV/cell.
Values of total magnetization, in order: 0.00, 0.00, all in μB per formula unit.